No. 1
Entry from Alexandria: a relaxed TaAl2Pt8 crystal (PBE-GGA).

a = 4.0361 Å, b = 6.3672 Å, c = 7.3229 Å
α = 108.93°, β = 106.00°, γ = 90.00°
With the nearest neighbours (Å) after each atom.
Positions (direct):
1 Ta 0.5000 0.0000 0.0000  12 Pt 2.71-2.86
2 Al 0.2172 0.6492 0.4344  10 Pt 2.57-2.87
3 Al 0.7828 0.3508 0.5656  10 Pt 2.57-2.87
4 Pt 0.6087 0.4584 0.2174  3 Al 2.57-2.76, 5 Pt 2.77-2.88, 1 Ta 2.80
5 Pt 0.3202 0.0688 0.6404  3 Al 2.57-2.87, 1 Ta 2.71, 8 Pt 2.75-2.85
6 Pt 0.1449 0.1969 0.2897  3 Al 2.71-2.74, 7 Pt 2.77-2.86, 2 Ta 2.84
7 Pt 0.0420 0.7261 0.0840  1 Al 2.67, 9 Pt 2.72-2.99, 2 Ta 2.86
8 Pt 0.8551 0.8031 0.7103  3 Al 2.71-2.74, 7 Pt 2.77-2.86, 2 Ta 2.84
9 Pt 0.6798 0.9312 0.3596  3 Al 2.57-2.87, 1 Ta 2.71, 8 Pt 2.75-2.85
10 Pt 0.3913 0.5416 0.7826  3 Al 2.57-2.76, 5 Pt 2.77-2.88, 1 Ta 2.80
11 Pt 0.9580 0.2739 0.9160  1 Al 2.67, 9 Pt 2.72-2.99, 2 Ta 2.86

Calculated values
Energy of formation from the pure elements in eV per formula unit: -7.73
E_tot in eV/atom: -6.854
Magnetization in μB per cell: 0.0
SG: C2/m, No. 12
Crystal system: monoclinic

=====

No. 2
Entry from Alexandria: a relaxed BiIrOsPd crystal (PBE-GGA).

a = 2.9392 Å, b = 2.9522 Å, c = 8.3623 Å
α = 90.00°, β = 93.28°, γ = 90.00°
With the nearest neighbours (Å) after each atom.
Positions (direct):
1 Bi 0.4160 0.5000 0.5707  4 Bi 2.94-2.95, 4 Pd 3.05-3.19, 2 Ir 3.05
2 Ir 0.7535 0.0000 0.8742  4 Os 2.62-2.63
3 Os 0.2830 0.5000 0.0654  4 Ir 2.62-2.63, 4 Pd 2.82
4 Pd 0.8195 0.0000 0.2926  4 Os 2.82, 4 Pd 2.94-2.95, 2 Bi 3.05

Calculated values
Energy of formation from the pure elements in eV per formula unit: 1.55
Energy relative to the lowest polymorph listed for this composition in meV/atom: 4
E_tot in eV/atom: -6.904
Magnetization in μB per cell: 0.0
SG: Pm, No. 6
Crystal system: monoclinic

=====

No. 3
Entry from Alexandria: a relaxed Li2Mg4Tl crystal (PBE-GGA).

a = 12.5677 Å, b = 5.0114 Å, c = 6.3122 Å
α = 128.07°, β = 90.00°, γ = 90.00°
With the nearest neighbours (Å) after each atom.
Positions (direct):
1 Li 0.0496 0.7159 0.4189  1 Li 2.67, 2 Mg 2.90-2.98, 1 Tl 2.92
2 Li 0.9504 0.2841 0.5811  1 Li 2.67, 2 Mg 2.90-2.98, 1 Tl 2.92
3 Li 0.5496 0.7841 0.5811  1 Li 2.67, 2 Mg 2.90-2.98, 1 Tl 2.92
4 Li 0.4504 0.2159 0.4189  1 Li 2.67, 2 Mg 2.90-2.98, 1 Tl 2.92
5 Mg 0.8341 0.6589 0.1021  4 Mg 2.97-3.28, 3 Li 2.98-3.27, 1 Tl 3.01
6 Mg 0.8166 0.7889 0.6271  3 Li 2.90-3.16, 4 Mg 2.97-3.03, 1 Tl 2.98
7 Mg 0.6834 0.2889 0.6271  3 Li 2.90-3.16, 4 Mg 2.97-3.03, 1 Tl 2.98
8 Mg 0.6659 0.1589 0.1021  4 Mg 2.97-3.28, 3 Li 2.98-3.27, 1 Tl 3.01
9 Mg 0.3341 0.8411 0.8979  4 Mg 2.97-3.28, 3 Li 2.98-3.27, 1 Tl 3.01
10 Mg 0.3166 0.7111 0.3729  3 Li 2.90-3.16, 4 Mg 2.97-3.03, 1 Tl 2.98
11 Mg 0.1834 0.2111 0.3729  3 Li 2.90-3.16, 4 Mg 2.97-3.03, 1 Tl 2.98
12 Mg 0.1659 0.3411 0.8979  4 Mg 2.97-3.28, 3 Li 2.98-3.27, 1 Tl 3.01
13 Tl 0.0000 0.0000 0.0000  4 Li 2.92-3.07, 4 Mg 2.98-3.01
14 Tl 0.5000 0.5000 0.0000  4 Li 2.92-3.07, 4 Mg 2.98-3.01

Calculated values
Energy of formation from the pure elements in eV per formula unit: -0.14
Energy relative to the lowest polymorph listed for this composition in meV/atom: 0
E_tot in eV/atom: -1.816
Magnetization in μB per cell: 0.0
SG: P2_1/c, No. 14
Crystal system: monoclinic

=====

No. 4
Entry from Alexandria: a relaxed TaTi2GaIr crystal (PBE-GGA).

a = 4.7247 Å, b = 4.6082 Å, c = 4.7247 Å
α = 90.00°, β = 90.00°, γ = 90.00°
With the nearest neighbours (Å) after each atom.
Positions (direct):
1 Ir 0.0000 0.0000 0.0000  2 Ga 2.30, 4 Ti 2.36
2 Ti 0.0000 0.0000 0.5000  2 Ir 2.36
3 Ti 0.5000 0.0000 0.0000  2 Ir 2.36
4 Ga 0.0000 0.5000 0.0000  2 Ir 2.30
5 Ta 0.5000 0.5000 0.5000  8 Ti 3.30, 4 Ga 3.34

Calculated values
Energy of formation from the pure elements in eV per formula unit: 3.09
E_tot in eV/atom: -7.288
Magnetization in μB per cell: 0.0
SG: P4/mmm, No. 123
Crystal system: tetragonal